Record 1
The following is a DFT calculation (PBE) of an optimized crystal structure of Mg4TlCu.

Output
DFT formation energy = -60 meV per atom
Energy above the most stable polymorph in this dataset = 0.000 eV per atom
Crystal system = monoclinic

```
Mg4TlCu
1.0
4.122 -6.267 0.000
4.122 6.267 0.000
-1.810 0.000 4.987
Mg Tl Cu
8 2 2
direct
0.065 0.715 0.937
0.195 0.366 0.646
0.285 0.935 0.563
0.366 0.195 0.146
0.634 0.805 0.854
0.715 0.065 0.437
0.805 0.634 0.354
0.935 0.285 0.063
0.380 0.620 0.250
0.620 0.380 0.750
0.001 0.999 0.750
0.999 0.001 0.250
```

Record 2
The following is a DFT calculation (PBE) of an optimized crystal structure of SiRh2Se.

Output
Uncorrected formation energy = -1.5 eV/f.u.
Energy above the most stable polymorph in this dataset = 0.103 eV per atom
Crystal system = tetragonal

```
SiRh2Se
1.0
2.911 0.000 0.000
0.000 2.911 0.000
0.000 0.000 6.992
Si Rh Se
1 2 1
direct
0.000 0.000 0.000
0.500 0.500 0.201
0.500 0.500 0.799
0.000 0.000 0.500
```

Record 3
The following is a DFT calculation (PBE) of an optimized crystal structure of Y2Pd2I.

Output
Uncorrected formation energy = -3.7 eV/f.u.
Energy above the most stable polymorph in this dataset = 0.030 eV per atom
Crystal system = tetragonal

```
Y2Pd2I
1.0
8.198 0.000 0.000
0.000 8.198 0.000
0.000 0.000 3.707
Y Pd I
4 4 2
direct
0.162 0.338 0.000
0.338 0.838 0.000
0.662 0.162 0.000
0.838 0.662 0.000
0.123 0.623 0.500
0.377 0.123 0.500
0.623 0.877 0.500
0.877 0.377 0.500
0.000 0.000 0.000
0.500 0.500 0.000
```

Record 4
The following is a DFT calculation (PBE) of an optimized crystal structure of BeNiPdRh.

Output
DFT formation energy = -175 meV per atom
Crystal system = cubic

```
BeNiPdRh
1.0
0.000 2.908 2.908
2.908 0.000 2.908
2.908 2.908 0.000
Be Ni Pd Rh
1 1 1 1
direct
0.000 0.000 0.000
0.500 0.500 0.500
0.750 0.750 0.750
0.250 0.250 0.250
```

What did we get for density of states at the Fermi level? Answer: 2.18; 1.77; 3.81; 4.96 states/eV/f.u., in the order shown.
What did we get for total DFT energy (no corrections)? Answer: -26.4; -25.1; -57.2; -22.8 eV per cell, in the order shown.
What did we get for total magnetization? Answer: 0.00; 0.00; 0.00; 1.67 μB/f.u., in the order shown.